{"formula": "TlTe2Pt", "functional": "GGA-PBE", "state": "relaxed", "density_kg_m3": 9573, "total_magnetization_mub_per_cell": 0.00, "raw_formation_energy_ev_per_fu": -0.26, "spacegroup": "Imm2", "lattice_angstrom": [[-1.7806, 1.8724, 8.5150], [1.7806, -1.8724, 8.5150], [1.7806, 1.8724, -8.5150]], "species": ["Tl", "Te", "Te", "Pt"], "frac_coords": [[0.0000, 0.0000, 0.0000], [0.1809, 0.6809, 0.5000], [0.3640, 0.3640, 0.0000], [0.7452, 0.2452, 0.5000]]}

---

{"formula": "TlTe2Pt", "functional": "GGA-PBE", "state": "relaxed", "density_kg_m3": 8763, "total_magnetization_mub_per_cell": 0.00, "raw_formation_energy_ev_per_fu": -0.97, "spacegroup": "Cm", "lattice_angstrom": [[6.2146, -1.9852, 0.0000], [6.2146, 1.9852, 0.0000], [-2.0765, 0.0000, 5.0278]], "species": ["Tl", "Te", "Te", "Pt"], "frac_coords": [[0.0000, 0.0000, 0.0000], [0.1762, 0.1762, 0.6665], [0.3467, 0.3467, 0.3443], [0.7608, 0.7608, 0.0040]]}

---

{"formula": "TlTe2Pt", "functional": "GGA-PBE", "state": "relaxed", "density_kg_m3": 10240, "total_magnetization_mub_per_cell": 0.00, "raw_formation_energy_ev_per_fu": 0.67, "spacegroup": "R-3m", "lattice_angstrom": [[1.6205, 0.9356, 11.6703], [-1.6205, 0.9356, 11.6703], [0.0000, -1.8712, 11.6703]], "species": ["Tl", "Te", "Te", "Pt"], "frac_coords": [[0.0000, 0.0000, 0.0000], [0.4259, 0.4259, 0.4259], [0.5741, 0.5741, 0.5741], [0.5000, 0.5000, 0.5000]]}

---

{"formula": "TlTe2Pt", "functional": "GGA-PBE", "state": "relaxed", "density_kg_m3": 10986, "total_magnetization_mub_per_cell": 0.00, "raw_formation_energy_ev_per_fu": 1.45, "spacegroup": "Fm-3m", "lattice_angstrom": [[0.0000, 3.6711, 3.6711], [3.6711, 0.0000, 3.6711], [3.6711, 3.6711, 0.0000]], "species": ["Tl", "Te", "Te", "Pt"], "frac_coords": [[0.0000, 0.0000, 0.0000], [0.2500, 0.2500, 0.2500], [0.7500, 0.7500, 0.7500], [0.5000, 0.5000, 0.5000]]}

---

Number 1: energy relative to the lowest polymorph listed for this composition 5.27 kcal/mol of atoms. Number 2: energy relative to the lowest polymorph listed for this composition 1.17 kcal/mol of atoms. Number 3: energy relative to the lowest polymorph listed for this composition 10.60 kcal/mol of atoms. Number 4: energy relative to the lowest polymorph listed for this composition 15.10 kcal/mol of atoms.